{"formula": "CaTmBe2Ge2", "functional": "PBE", "state": "relaxed", "final_energy_ev_per_atom": -4.396, "n_ef_per_ev_cell": 2.75, "magmom_total_mub_per_cell": 0.00, "delta_e_f_mev_per_atom": -535.9, "rho_g_cm3": 5.60, "space_group": "No. 164", "lattice_angstrom": [[3.929, 0.000, 0.000], [-1.965, 3.403, 0.000], [0.000, 0.000, 8.262]], "species": ["Ca", "Tm", "Be", "Be", "Ge", "Ge"], "frac_coords": [[0.000, 0.000, 0.000], [0.000, 0.000, 0.500], [0.333, 0.667, 0.730], [0.667, 0.333, 0.270], [0.333, 0.667, 0.262], [0.667, 0.333, 0.738]]}


{"formula": "YNi2Sb", "functional": "PBE", "state": "relaxed", "final_energy_ev_per_atom": -5.728, "n_ef_per_ev_cell": 7.05, "magmom_total_mub_per_cell": 0.00, "rho_g_cm3": 6.33, "raw_formation_energy_mev_per_atom": -190.3, "space_group": "No. 122", "lattice_angstrom": [[-2.255, 2.255, 8.458], [2.255, -2.255, 8.458], [2.255, 2.255, -8.458]], "species": ["Y", "Y", "Ni", "Ni", "Ni", "Ni", "Sb", "Sb"], "frac_coords": [[0.000, 0.000, 0.000], [0.750, 0.250, 0.500], [0.277, 0.625, 0.152], [0.375, 0.527, 0.652], [0.473, 0.125, 0.848], [0.875, 0.723, 0.348], [0.250, 0.750, 0.500], [0.500, 0.500, 0.000]]}


{"formula": "Nd2Ni9Ag", "functional": "PBE", "state": "relaxed", "final_energy_ev_per_atom": -5.482, "n_ef_per_ev_cell": 11.19, "magmom_total_mub_per_cell": 2.78, "delta_e_f_mev_per_atom": -114.0, "rho_g_cm3": 8.79, "space_group": "No. 166", "lattice_angstrom": [[2.490, 1.437, 8.135], [-2.490, 1.437, 8.135], [0.000, -2.875, 8.135]], "species": ["Nd", "Nd", "Ni", "Ni", "Ni", "Ni", "Ni", "Ni", "Ni", "Ni", "Ni", "Ag"], "frac_coords": [[0.134, 0.134, 0.134], [0.866, 0.866, 0.866], [0.080, 0.580, 0.580], [0.333, 0.333, 0.333], [0.420, 0.420, 0.920], [0.420, 0.920, 0.420], [0.500, 0.500, 0.500], [0.580, 0.080, 0.580], [0.580, 0.580, 0.080], [0.667, 0.667, 0.667], [0.920, 0.420, 0.420], [0.000, 0.000, 0.000]]}


{"formula": "Tb12PrSm6", "functional": "PBE", "state": "relaxed", "final_energy_ev_per_atom": -4.517, "n_ef_per_ev_cell": 29.75, "magmom_total_mub_per_cell": 0.00, "delta_e_f_mev_per_atom": 149.5, "rho_g_cm3": 7.71, "de_polymorph_mev_per_atom": 135, "space_group": "No. 148", "lattice_angstrom": [[6.020, 3.476, 5.060], [-6.020, 3.476, 5.060], [0.000, -6.951, 5.060]], "species": ["Tb", "Tb", "Tb", "Tb", "Tb", "Tb", "Tb", "Tb", "Tb", "Tb", "Tb", "Tb", "Pr", "Sm", "Sm", "Sm", "Sm", "Sm", "Sm"], "frac_coords": [[0.013, 0.356, 0.206], [0.206, 0.013, 0.356], [0.226, 0.563, 0.459], [0.356, 0.206, 0.013], [0.437, 0.541, 0.774], [0.459, 0.226, 0.563], [0.541, 0.774, 0.437], [0.563, 0.459, 0.226], [0.644, 0.794, 0.987], [0.774, 0.437, 0.541], [0.794, 0.987, 0.644], [0.987, 0.644, 0.794], [0.000, 0.000, 0.000], [0.092, 0.259, 0.689], [0.259, 0.689, 0.092], [0.311, 0.908, 0.741], [0.689, 0.092, 0.259], [0.741, 0.311, 0.908], [0.908, 0.741, 0.311]]}


{"formula": "Pm2Pr2NdTm", "functional": "PBE", "state": "relaxed", "final_energy_ev_per_atom": -4.660, "n_ef_per_ev_cell": 18.36, "magmom_total_mub_per_cell": 0.00, "delta_e_f_mev_per_atom": 56.5, "rho_g_cm3": 7.17, "space_group": "No. 51", "lattice_angstrom": [[7.122, 0.000, 0.000], [0.000, 5.767, 0.000], [0.000, 0.000, 9.978]], "species": ["Pm", "Pm", "Pm", "Pm", "Pr", "Pr", "Pr", "Pr", "Nd", "Nd", "Tm", "Tm"], "frac_coords": [[0.250, 0.000, 0.164], [0.250, 0.500, 0.669], [0.750, 0.000, 0.836], [0.750, 0.500, 0.331], [0.000, 0.500, 0.000], [0.250, 0.000, 0.823], [0.500, 0.500, 0.000], [0.750, 0.000, 0.177], [0.250, 0.500, 0.343], [0.750, 0.500, 0.657], [0.000, 0.000, 0.500], [0.500, 0.000, 0.500]]}


{"formula": "CuHgMo2", "functional": "PBE", "state": "relaxed", "final_energy_ev_per_atom": -5.897, "n_ef_per_ev_cell": 3.06, "magmom_total_mub_per_cell": 0.00, "delta_e_f_mev_per_atom": 618.3, "rho_g_cm3": 11.55, "space_group": "No. 216", "lattice_angstrom": [[0.000, 3.200, 3.200], [3.200, 0.000, 3.200], [3.200, 3.200, 0.000]], "species": ["Cu", "Hg", "Mo", "Mo"], "frac_coords": [[0.000, 0.000, 0.000], [0.250, 0.250, 0.250], [0.500, 0.500, 0.500], [0.750, 0.750, 0.750]]}